[1]
! Dy2YErO6 (GGA-PBE, optimized geometry); values from VASP
! Volume in Å³/atom: 14.73
! Theoretical density in g/cm3: 7.63
! Total magnetic moment in μB per atom: 0.00
! Crystal system: trigonal
! Formation energy from raw total energies in kJ/mol of formula units: -3418
&SYSTEM
  ibrav = 0, nat = 10, ntyp = 4
/
ATOMIC_SPECIES
Dy 162.50 Dy.upf
Y 88.91 Y.upf
Er 167.26 Er.upf
O 16.00 O.upf
CELL_PARAMETERS angstrom
2.9006 1.6747 5.0541
-2.9006 1.6747 5.0541
0.0000 -3.3493 5.0541
ATOMIC_POSITIONS angstrom
Dy 0.0000 0.0000 0.0000
Dy 0.0000 0.0000 7.5694
Y 0.0000 0.0000 4.2812
Er 0.0000 0.0000 11.8851
O -0.8724 -1.4685 5.9292
O -2.0590 -0.2121 8.4451
O -0.8355 1.4898 5.9292
O 1.2132 -1.6771 8.4451
O 1.7080 -0.0213 5.9292
O 0.8458 1.8892 8.4451

[2]
! DyY2ErO6 (GGA-PBE, optimized geometry); values from VASP
! Volume in Å³/atom: 14.76
! Theoretical density in g/cm3: 6.79
! Total magnetic moment in μB per atom: 0.00
! Crystal system: trigonal
! Formation energy from raw total energies in kJ/mol of formula units: -3408
&SYSTEM
  ibrav = 0, nat = 10, ntyp = 4
/
ATOMIC_SPECIES
Dy 162.50 Dy.upf
Y 88.91 Y.upf
Er 167.26 Er.upf
O 16.00 O.upf
CELL_PARAMETERS angstrom
2.9020 1.6755 5.0587
-2.9020 1.6755 5.0587
0.0000 -3.3509 5.0587
ATOMIC_POSITIONS angstrom
Dy 0.0000 0.0000 0.0000
Y 0.0000 0.0000 4.2880
Y 0.0000 0.0000 11.8875
Er 0.0000 0.0000 7.5673
O -1.6913 0.0118 5.9554
O -1.1942 -1.6475 8.4766
O 0.8354 -1.4706 5.9554
O -0.8297 1.8580 8.4766
O 0.8559 1.4588 5.9554
O 2.0239 -0.2105 8.4766

[3]
! Dy4ErOs2 (GGA-PBE, optimized geometry); values from VASP
! Volume in Å³/atom: 25.53
! Theoretical density in g/cm3: 11.13
! Total magnetic moment in μB per atom: 0.00
! E in eV per cell: -93.26
! Crystal system: monoclinic
&SYSTEM
  ibrav = 0, nat = 14, ntyp = 3
/
ATOMIC_SPECIES
Dy 162.50 Dy.upf
Er 167.26 Er.upf
Os 190.23 Os.upf
CELL_PARAMETERS angstrom
7.8178 0.0000 0.0000
0.0000 6.2680 0.0000
-2.9774 0.0000 7.2940
ATOMIC_POSITIONS angstrom
Dy -0.4796 1.5670 3.4956
Dy 0.6161 4.7010 1.8419
Dy -0.6935 3.1443 6.7000
Dy -0.6935 6.2577 6.7000
Dy 5.5339 0.0103 0.5940
Dy 5.5339 3.1237 0.5940
Dy 4.2244 1.5670 5.4521
Dy 5.3201 4.7010 3.7984
Er 2.6647 1.5670 2.4832
Er 2.1757 4.7010 4.8109
Os 0.3123 1.5670 0.8972
Os 1.4763 1.5670 5.4884
Os 3.3641 4.7010 1.8056
Os 4.5281 4.7010 6.3968

[4]
! DyErOs (GGA-PBE, optimized geometry); values from VASP
! Offset from the most stable computed form in meV/atom: 0
! Volume in Å³/atom: 24.92
! Theoretical density in g/cm3: 11.55
! Total magnetic moment in μB per atom: 0.00
! Crystal system: tetragonal
&SYSTEM
  ibrav = 0, nat = 3, ntyp = 3
/
ATOMIC_SPECIES
Dy 162.50 Dy.upf
Er 167.26 Er.upf
Os 190.23 Os.upf
CELL_PARAMETERS angstrom
-1.6903 1.6903 6.5421
1.6903 -1.6903 6.5421
1.6903 1.6903 -6.5421
ATOMIC_POSITIONS angstrom
Dy 0.0000 0.0000 0.0000
Er 0.0000 0.0000 9.7913
Os 0.0000 0.0000 4.8783

[5]
! DyEr6Os2 (GGA-PBE, optimized geometry); values from VASP
! Volume in Å³/atom: 27.20
! Theoretical density in g/cm3: 10.49
! Total magnetic moment in μB per atom: 0.00
! E in eV per cell: -55.84
! Crystal system: monoclinic
&SYSTEM
  ibrav = 0, nat = 9, ntyp = 3
/
ATOMIC_SPECIES
Dy 162.50 Dy.upf
Er 167.26 Er.upf
Os 190.23 Os.upf
CELL_PARAMETERS angstrom
7.4817 -1.9761 0.0000
7.4817 1.9761 0.0000
-6.1952 0.0000 8.2803
ATOMIC_POSITIONS angstrom
Dy 0.0000 0.0000 0.0000
Er -4.1177 0.0000 5.7133
Er 1.6854 0.0000 3.2197
Er -1.2137 0.0000 7.8266
Er 9.9819 0.0000 0.4536
Er 7.0828 0.0000 5.0606
Er 12.8859 0.0000 2.5670
Os 1.3300 0.0000 6.1529
Os 7.4381 0.0000 2.1273

[6]
! DyErOs (GGA-PBE, optimized geometry); values from VASP
! Offset from the most stable computed form in meV/atom: 27
! Volume in Å³/atom: 25.39
! Theoretical density in g/cm3: 11.34
! Total magnetic moment in μB per atom: 0.00
! Crystal system: cubic
&SYSTEM
  ibrav = 0, nat = 3, ntyp = 3
/
ATOMIC_SPECIES
Dy 162.50 Dy.upf
Er 167.26 Er.upf
Os 190.23 Os.upf
CELL_PARAMETERS angstrom
0.0000 3.3644 3.3644
3.3644 0.0000 3.3644
3.3644 3.3644 0.0000
ATOMIC_POSITIONS angstrom
Dy 0.0000 0.0000 0.0000
Er 3.3644 3.3644 3.3644
Os 5.0467 5.0467 5.0467

[7]
! DyErOs (GGA-PBE, optimized geometry); values from VASP
! Offset from the most stable computed form in meV/atom: 2
! Volume in Å³/atom: 24.93
! Theoretical density in g/cm3: 11.54
! Total magnetic moment in μB per atom: 0.00
! Crystal system: triclinic
&SYSTEM
  ibrav = 0, nat = 6, ntyp = 3
/
ATOMIC_SPECIES
Dy 162.50 Dy.upf
Er 167.26 Er.upf
Os 190.23 Os.upf
CELL_PARAMETERS angstrom
3.3835 0.0000 0.0000
0.0072 6.7567 0.0000
1.6797 1.7034 6.5433
ATOMIC_POSITIONS angstrom
Dy 0.8408 0.8540 1.6153
Dy 4.2296 7.6062 4.9279
Er 0.8441 4.2267 1.6356
Er 4.2263 4.2334 4.9077
Os 2.5335 2.5476 3.2744
Os 2.5369 5.9126 3.2689

[8]
! DyErOs (GGA-PBE, optimized geometry); values from VASP
! Offset from the most stable computed form in meV/atom: 107
! Volume in Å³/atom: 23.51
! Theoretical density in g/cm3: 12.24
! Total magnetic moment in μB per atom: 0.00
! Crystal system: triclinic
&SYSTEM
  ibrav = 0, nat = 12, ntyp = 3
/
ATOMIC_SPECIES
Dy 162.50 Dy.upf
Er 167.26 Er.upf
Os 190.23 Os.upf
CELL_PARAMETERS angstrom
5.5246 0.0000 0.0000
-0.7855 6.8651 0.0000
-1.5018 -2.5351 7.4388
ATOMIC_POSITIONS angstrom
Dy 0.3444 0.0418 1.6744
Dy 0.1193 2.2046 4.6937
Dy 3.1181 2.1255 2.7452
Dy 2.8930 4.2883 5.7645
Er 0.9259 2.7709 0.1759
Er 0.8208 -1.1357 4.8598
Er 2.4166 5.4657 2.5790
Er 2.3115 1.5592 7.2629
Os -0.2990 4.1738 2.4741
Os -0.1604 3.2496 7.2495
Os 3.3977 1.0804 0.1894
Os 3.5364 0.1563 4.9647

[9]
! Dy3ErOs (GGA-PBE, optimized geometry); values from VASP
! Volume in Å³/atom: 30.59
! Theoretical density in g/cm3: 9.17
! Total magnetic moment in μB per atom: 0.00
! E in eV per cell: -59.83
! Crystal system: orthorhombic
&SYSTEM
  ibrav = 0, nat = 10, ntyp = 3
/
ATOMIC_SPECIES
Dy 162.50 Dy.upf
Er 167.26 Er.upf
Os 190.23 Os.upf
CELL_PARAMETERS angstrom
7.6875 0.0000 0.0000
0.0000 6.4126 0.0000
0.0000 0.0000 6.2058
ATOMIC_POSITIONS angstrom
Dy 0.0000 1.0144 0.0000
Dy 1.9206 2.0396 3.1177
Dy 1.9232 4.3730 0.0148
Dy 3.8437 5.3982 3.1029
Dy 5.7669 2.0396 3.1177
Dy 5.7643 4.3730 0.0148
Er 0.0000 5.3952 3.1387
Er 3.8437 1.0173 0.0358
Os 0.0000 3.2142 1.5715
Os 3.8437 3.1984 4.6744

[10]
! DyErOsPt (GGA-PBE, optimized geometry); values from VASP
! Volume in Å³/atom: 20.15
! Theoretical density in g/cm3: 14.73
! Total magnetic moment in μB per atom: 0.00
! E in eV per cell: -29.18
! Crystal system: cubic
&SYSTEM
  ibrav = 0, nat = 4, ntyp = 4
/
ATOMIC_SPECIES
Dy 162.50 Dy.upf
Er 167.26 Er.upf
Os 190.23 Os.upf
Pt 195.08 Pt.upf
CELL_PARAMETERS angstrom
0.0000 3.4283 3.4283
3.4283 0.0000 3.4283
3.4283 3.4283 0.0000
ATOMIC_POSITIONS angstrom
Dy 0.0000 0.0000 0.0000
Er 3.4283 3.4283 3.4283
Os 1.7142 1.7142 1.7142
Pt 5.1425 5.1425 5.1425

[11]
! Dy3Er5P8 (GGA-PBE, optimized geometry); values from VASP
! Volume in Å³/atom: 22.33
! Theoretical density in g/cm3: 7.31
! Total magnetic moment in μB per atom: 0.00
! E in eV per cell: -105.71
! Crystal system: trigonal
&SYSTEM
  ibrav = 0, nat = 16, ntyp = 3
/
ATOMIC_SPECIES
Dy 162.50 Dy.upf
Er 167.26 Er.upf
P 30.97 P.upf
CELL_PARAMETERS angstrom
3.9821 2.2991 6.5027
-3.9821 2.2991 6.5027
0.0000 -4.5982 6.5027
ATOMIC_POSITIONS angstrom
Dy -1.9911 -1.1495 6.5027
Dy -1.9911 1.1495 13.0055
Dy 0.0000 2.2991 6.5027
Er 0.0000 0.0000 0.0000
Er -3.9821 0.0000 9.7541
Er -1.9911 1.1495 3.2514
Er 1.9911 1.1495 3.2514
Er 0.0000 0.0000 9.7541
P -1.9974 -1.1532 11.3695
P 0.0000 0.0000 4.8609
P 0.0000 -2.3064 8.1387
P -1.9974 1.1532 8.1387
P 1.9974 -1.1532 11.3695
P 0.0000 2.3064 11.3695
P 0.0000 0.0000 14.6473
P 1.9974 1.1532 8.1387

[12]
! Dy5Er3P8 (GGA-PBE, optimized geometry); values from VASP
! Volume in Å³/atom: 22.49
! Theoretical density in g/cm3: 7.21
! Total magnetic moment in μB per atom: 0.00
! E in eV per cell: -105.80
! Crystal system: trigonal
&SYSTEM
  ibrav = 0, nat = 16, ntyp = 3
/
ATOMIC_SPECIES
Dy 162.50 Dy.upf
Er 167.26 Er.upf
P 30.97 P.upf
CELL_PARAMETERS angstrom
3.9919 2.3047 6.5187
-3.9919 2.3047 6.5187
0.0000 -4.6095 6.5187
ATOMIC_POSITIONS angstrom
Dy 0.0000 0.0000 0.0000
Dy -1.9960 -1.1524 6.5187
Dy -1.9960 1.1524 13.0373
Dy 0.0000 2.3047 6.5186
Dy 0.0000 0.0000 9.7780
Er -3.9919 0.0000 9.7780
Er -1.9960 1.1524 3.2593
Er 1.9960 1.1524 3.2593
P -2.0026 -1.1562 11.3969
P 0.0000 0.0000 4.8735
P 0.0000 -2.3124 8.1591
P -2.0026 1.1562 8.1591
P 2.0026 -1.1562 11.3969
P 0.0000 2.3124 11.3969
P 0.0000 0.0000 14.6825
P 2.0026 1.1562 8.1591

[13]
! Dy3ErP4 (GGA-PBE, optimized geometry); values from VASP
! Volume in Å³/atom: 22.58
! Theoretical density in g/cm3: 7.16
! Total magnetic moment in μB per atom: 0.00
! E in eV per cell: -52.92
! Crystal system: orthorhombic
&SYSTEM
  ibrav = 0, nat = 8, ntyp = 3
/
ATOMIC_SPECIES
Dy 162.50 Dy.upf
Er 167.26 Er.upf
P 30.97 P.upf
CELL_PARAMETERS angstrom
3.9970 -5.6520 0.0000
3.9970 5.6520 0.0000
0.0000 0.0000 3.9984
ATOMIC_POSITIONS angstrom
Dy 0.0000 0.0000 0.0000
Dy 1.9985 2.8260 1.9992
Dy 1.9985 -2.8260 1.9992
Er 3.9970 0.0000 0.0000
P 3.9970 2.8165 0.0000
P 2.0114 0.0000 1.9992
P 5.9826 0.0000 1.9992
P 3.9970 -2.8165 0.0000

[14]
! Dy5ErP6 (GGA-PBE, optimized geometry); values from VASP
! Volume in Å³/atom: 22.65
! Theoretical density in g/cm3: 7.12
! Total magnetic moment in μB per atom: 0.00
! E in eV per cell: -79.42
! Crystal system: monoclinic
&SYSTEM
  ibrav = 0, nat = 12, ntyp = 3
/
ATOMIC_SPECIES
Dy 162.50 Dy.upf
Er 167.26 Er.upf
P 30.97 P.upf
CELL_PARAMETERS angstrom
3.4661 -6.0011 0.0000
3.4661 6.0011 0.0000
-2.3105 0.0000 6.5330
ATOMIC_POSITIONS angstrom
Dy 0.0000 0.0000 0.0000
Dy 2.3108 4.0018 3.2665
Dy 3.4661 2.0033 0.0000
Dy 3.4661 -2.0033 0.0000
Dy 2.3108 -4.0018 3.2665
Er 2.3108 0.0000 3.2665
P 1.1598 1.9928 1.6390
P 0.0090 0.0000 4.8956
P 1.1598 -1.9928 1.6390
P 3.4618 1.9928 4.8940
P 4.6126 0.0000 1.6374
P 3.4618 -1.9928 4.8940

[15]
! DyEr3P4 (GGA-PBE, optimized geometry); values from VASP
! Volume in Å³/atom: 22.26
! Theoretical density in g/cm3: 7.35
! Total magnetic moment in μB per atom: 0.00
! E in eV per cell: -52.84
! Crystal system: orthorhombic
&SYSTEM
  ibrav = 0, nat = 8, ntyp = 3
/
ATOMIC_SPECIES
Dy 162.50 Dy.upf
Er 167.26 Er.upf
P 30.97 P.upf
CELL_PARAMETERS angstrom
3.9777 -5.6246 0.0000
3.9777 5.6246 0.0000
0.0000 0.0000 3.9790
ATOMIC_POSITIONS angstrom
Dy 0.0000 0.0000 0.0000
Er 1.9889 2.8123 1.9895
Er 1.9889 -2.8123 1.9895
Er 3.9777 0.0000 0.0000
P 3.9777 2.8038 0.0000
P 2.0018 0.0000 1.9895
P 5.9537 0.0000 1.9895
P 3.9777 -2.8038 0.0000

[16]
! DyErPa2P4 (GGA-PBE, optimized geometry); values from VASP
! Volume in Å³/atom: 22.14
! Theoretical density in g/cm3: 8.59
! Total magnetic moment in μB per atom: 0.00
! E in eV per cell: -61.43
! Crystal system: monoclinic
&SYSTEM
  ibrav = 0, nat = 8, ntyp = 4
/
ATOMIC_SPECIES
Dy 162.50 Dy.upf
Er 167.26 Er.upf
Pa 231.04 Pa.upf
P 30.97 P.upf
CELL_PARAMETERS angstrom
6.8708 0.0000 0.0000
0.0000 3.9741 0.0000
-2.2983 0.0000 6.4864
ATOMIC_POSITIONS angstrom
Dy 0.0000 0.0000 0.0000
Er -1.1491 1.9870 3.2432
Pa 2.2863 0.0000 3.2432
Pa 3.4354 1.9870 0.0000
P 0.0082 0.0000 4.8618
P 1.1573 1.9870 1.6350
P 3.4153 1.9870 4.8514
P 4.5643 0.0000 1.6246

[17]
! DyEr2Pa3P6 (GGA-PBE, optimized geometry); values from VASP
! Volume in Å³/atom: 22.08
! Theoretical density in g/cm3: 8.62
! Total magnetic moment in μB per atom: 0.00
! E in eV per cell: -92.12
! Crystal system: monoclinic
&SYSTEM
  ibrav = 0, nat = 12, ntyp = 4
/
ATOMIC_SPECIES
Dy 162.50 Dy.upf
Er 167.26 Er.upf
Pa 231.04 Pa.upf
P 30.97 P.upf
CELL_PARAMETERS angstrom
3.4374 -5.9548 0.0000
3.4374 5.9548 0.0000
-2.2924 0.0000 6.4710
ATOMIC_POSITIONS angstrom
Dy 0.0000 0.0000 0.0000
Er 3.4374 1.9857 0.0000
Er 3.4374 -1.9857 0.0000
Pa 2.2912 3.9741 3.2355
Pa 2.2912 0.0000 3.2355
Pa 2.2912 -3.9741 3.2355
P 1.1506 1.9934 1.6305
P 0.0094 0.0000 4.8436
P 1.1506 -1.9934 1.6305
P 3.4318 1.9934 4.8405
P 4.5730 0.0000 1.6274
P 3.4318 -1.9934 4.8405

[18]
! DyEr2PaP4 (GGA-PBE, optimized geometry); values from VASP
! Volume in Å³/atom: 22.14
! Theoretical density in g/cm3: 7.99
! Total magnetic moment in μB per atom: 0.00
! E in eV per cell: -57.21
! Crystal system: monoclinic
&SYSTEM
  ibrav = 0, nat = 8, ntyp = 4
/
ATOMIC_SPECIES
Dy 162.50 Dy.upf
Er 167.26 Er.upf
Pa 231.04 Pa.upf
P 30.97 P.upf
CELL_PARAMETERS angstrom
6.8651 0.0000 0.0000
0.0000 3.9790 0.0000
-2.2945 0.0000 6.4826
ATOMIC_POSITIONS angstrom
Dy 0.0000 0.0000 0.0000
Er 2.2853 0.0000 3.2413
Er 3.4326 1.9895 0.0000
Pa -1.1472 1.9895 3.2413
P 1.1297 1.9895 1.6462
P -0.0025 0.0000 4.8479
P 4.5732 0.0000 1.6346
P 3.4409 1.9895 4.8364

[19]
! PmDy2ErP4 (GGA-PBE, optimized geometry); values from VASP
! Volume in Å³/atom: 23.14
! Theoretical density in g/cm3: 6.83
! Total magnetic moment in μB per atom: 0.00
! E in eV per cell: -52.91
! Crystal system: monoclinic
&SYSTEM
  ibrav = 0, nat = 8, ntyp = 4
/
ATOMIC_SPECIES
Pm 145.00 Pm.upf
Dy 162.50 Dy.upf
Er 167.26 Er.upf
P 30.97 P.upf
CELL_PARAMETERS angstrom
6.9776 0.0000 0.0000
0.0000 4.0313 0.0000
-2.3256 0.0000 6.5800
ATOMIC_POSITIONS angstrom
Pm 0.0000 0.0000 0.0000
Dy -1.1628 2.0157 3.2900
Dy 2.3260 0.0000 3.2900
Er 3.4888 2.0157 0.0000
P 0.0311 0.0000 4.9293
P 1.1936 2.0157 1.6735
P 3.4584 2.0157 4.9065
P 4.6209 0.0000 1.6507

[20]
! Pm2DyErP4 (GGA-PBE, optimized geometry); values from VASP
! Volume in Å³/atom: 23.67
! Theoretical density in g/cm3: 6.52
! Total magnetic moment in μB per atom: 0.00
! E in eV per cell: -52.97
! Crystal system: monoclinic
&SYSTEM
  ibrav = 0, nat = 8, ntyp = 4
/
ATOMIC_SPECIES
Pm 145.00 Pm.upf
Dy 162.50 Dy.upf
Er 167.26 Er.upf
P 30.97 P.upf
CELL_PARAMETERS angstrom
7.0290 0.0000 0.0000
0.0000 4.0627 0.0000
-2.3445 0.0000 6.6308
ATOMIC_POSITIONS angstrom
Pm 0.0000 0.0000 0.0000
Pm -1.1723 2.0313 3.3154
Dy 2.3422 0.0000 3.3154
Er 3.5145 2.0313 0.0000
P 1.2261 2.0313 1.6691
P 0.0532 0.0000 5.0003
P 4.6312 0.0000 1.6305
P 3.4583 2.0313 4.9617